A relaxed structure of Pm2LuCu. Source: the Alexandria database, functional GGA-PBE.

As for the density: 8.01 Mg/m³. For the energy above the most stable polymorph in this dataset, the calculation gives 0.000 eV/atom. The total magnetization comes out at 0.0 μB/cell. For the electronic total energy, the calculation gives -18.29 eV per cell.

a = 3.591 Å, b = 3.591 Å, c = 8.494 Å
α = 90.00°, β = 90.00°, γ = 90.00°
Space group P4/mmm (No. 123)
Symmetry-distinct sites (fractional):
Pm 0.000 0.000 0.206 (multiplicity 2)
Lu 0.500 0.500 0.500 (multiplicity 1)
Cu 0.500 0.500 0.000 (multiplicity 1)